Density functional theory data (PBEsol) for a geometry-optimized YGeAu structure.

Lattice parameters (Å, degrees): 4.4110 4.4110 7.2043 90.00 90.00 120.00
Closest atoms and distances in Å follow each position.
Fractional coordinates of all 6 atoms:
Y 0.0000 0.0000 0.5378  6 Ge 2.95-3.30, 6 Au 2.97-3.28
Y 0.0000 0.0000 0.0378  6 Ge 2.95-3.30, 6 Au 2.97-3.28
Ge 0.6667 0.3333 0.2456  3 Au 2.61
Ge 0.3333 0.6667 0.7456  3 Au 2.61
Au 0.3333 0.6667 0.3257  3 Ge 2.61
Au 0.6667 0.3333 0.8257  3 Ge 2.61

Properties
**Energy**: -36.80 eV/cell
**Formation energy from the elements**: -0.905 eV/atom
**Theoretical density**: 9.8 g cm⁻³
**SG**: No. 186
**Magnetization**: 0.00 μB/cell